# Zn2CuRe (PBE, relaxed)
data_Zn2CuRe
_cell_length_a 2.6362
_cell_length_b 3.9586
_cell_length_c 5.3473
_cell_angle_alpha 90.00
_cell_angle_beta 90.00
_cell_angle_gamma 90.00
_symmetry_space_group_name_H-M 'P 1'
_symmetry_Int_Tables_number 1
loop_
_symmetry_equiv_pos_as_xyz
'x,y,z'
loop_
_atom_site_label
_atom_site_type_symbol
_atom_site_fract_x
_atom_site_fract_y
_atom_site_fract_z
_atom_site_occupancy
Zn1 Zn 0.0000 0.0000 0.9920 1
Zn2 Zn 0.5000 0.5000 0.2572 1
Cu1 Cu 0.0000 0.0000 0.5006 1
Re1 Re 0.5000 0.5000 0.7502 1
# SG	No. 25
# E_tot	-18.14	eV per cell
# formation energy	0.237	eV/atom
# volume	56	Å³/cell
# energy above the lowest structure with this stoichiometry	149	meV per atom
# Fermi-level density of states	2.516	states/eV/cell